Entry 1:
VASP calculation (GGA-PBE) on an optimized crystal structure of Na2AcCd6.

## Properties
Formation energy from the elements (eV per atom): -0.14
M_tot (μB/f.u.): 0.000
Space-group type: Immm

Cell and atoms, written as POSCAR:
```
Na2AcCd6
1.0
3.5778 -0.0055 -0.6864
-0.8040 7.6801 -4.2527
-0.1348 -0.1172 8.9511
Na Ac Cd
2 1 6
direct
0.8552 0.3549 0.7098
0.1448 0.6451 0.2902
0.0000 0.0000 0.0000
0.6759 0.9982 0.3545
0.3241 0.0018 0.6455
0.3241 0.6438 0.6455
0.5000 0.3348 0.0000
0.5000 0.6652 0.0000
0.6759 0.3562 0.3545
```

Entry 2:
VASP calculation (GGA-PBE) on an optimized crystal structure of DyMgCdAg.

## Properties
Formation energy from the elements (eV per atom): -0.31
M_tot (μB/f.u.): 0.000
Space-group type: F-43m

Cell and atoms, written as POSCAR:
```
DyMgCdAg
1.0
-1.6980 4.5954 1.0563
-2.0524 0.9462 4.4731
2.4288 2.8682 3.3152
Mg Cd Ag Dy
1 1 1 1
direct
0.0000 0.0000 0.0000
0.7500 0.7500 0.7500
0.2500 0.2500 0.2500
0.5000 0.5000 0.5000
```

Entry 3:
VASP calculation (GGA-PBE) on an optimized crystal structure of MgAs.

## Properties
Formation energy from the elements (eV per atom): -0.13
M_tot (μB/f.u.): 0.000
Space-group type: P4/m

Cell and atoms, written as POSCAR:
```
MgAs
1.0
9.1750 0.0000 0.0000
0.0000 9.1750 0.0000
0.0000 0.0000 5.2433
Mg As
8 8
direct
0.7678 0.5174 0.5000
0.2322 0.4826 0.5000
0.4826 0.7678 0.5000
0.5174 0.2322 0.5000
0.8839 0.3433 0.0000
0.1161 0.6567 0.0000
0.6567 0.8839 0.0000
0.3433 0.1161 0.0000
0.7934 0.2367 0.5000
0.2066 0.7633 0.5000
0.7633 0.7934 0.5000
0.2367 0.2066 0.5000
0.8302 0.6505 0.0000
0.1698 0.3495 0.0000
0.3495 0.8302 0.0000
0.6505 0.1698 0.0000
```

Entry 4:
VASP calculation (GGA-PBE) on an optimized crystal structure of LiEuTe.

## Properties
M_tot (μB/f.u.): 8.001
Energy relative to the elements, uncorrected (eV per formula unit): -2.35
Space-group type: I4mm

Cell and atoms, written as POSCAR:
```
LiEuTe
1.0
4.3363 0.0000 0.0000
0.0000 4.3363 0.0000
-2.1681 -2.1681 4.5736
Eu Te Li
1 1 1
direct
0.9470 0.9470 0.8939
0.3014 0.3014 0.6028
0.6016 0.6016 0.2032
```

Entry 5:
VASP calculation (GGA-PBE) on an optimized crystal structure of KNpTe2O8.

## Properties
M_tot (μB/f.u.): 0.116
Energy relative to the elements, uncorrected (eV per formula unit): -18.77
Space-group type: P-3m1

Cell and atoms, written as POSCAR:
```
KNpTe2O8
1.0
6.4819 0.0000 0.0000
-3.2410 5.6135 0.0000
0.0000 0.0000 7.3896
K Np Te O
1 1 2 8
direct
0.0000 0.0000 0.5000
0.0000 0.0000 0.0000
0.3333 0.6667 0.8091
0.6667 0.3333 0.1909
0.1455 0.2910 0.8354
0.1455 0.8545 0.8354
0.7090 0.8545 0.8354
0.2910 0.1455 0.1646
0.6667 0.3333 0.4351
0.3333 0.6667 0.5649
0.8545 0.7090 0.1646
0.8545 0.1455 0.1646
```

Entry 6:
VASP calculation (GGA-PBE) on an optimized crystal structure of Pm2SmUN4.

## Properties
M_tot (μB/f.u.): 0.452
Energy relative to the elements, uncorrected (eV per formula unit): -11.79
Space-group type: P2/m

Cell and atoms, written as POSCAR:
```
Pm2SmUN4
1.0
-3.1900 -1.5343 0.3474
0.7838 -2.8439 -5.3627
2.1973 -3.5497 4.4986
Pm Sm U N
2 1 1 4
direct
0.5000 0.0000 0.5000
0.0000 0.5000 0.5000
0.5000 0.5000 0.0000
0.0000 0.0000 0.0000
0.5000 0.2216 0.2200
0.5000 0.7784 0.7800
0.0000 0.2271 0.7760
0.0000 0.7729 0.2240
```

Entry 7:
VASP calculation (GGA-PBE) on an optimized crystal structure of PuPaZnRe.

## Properties
Formation energy from the elements (eV per atom): 0.07
M_tot (μB/f.u.): 5.177
Space-group type: F-43m

Cell and atoms, written as POSCAR:
```
PuPaZnRe
1.0
-1.8451 1.8863 4.1307
-2.6950 -2.8029 2.9843
1.7964 -1.3877 4.3442
Re Zn Pa Pu
1 1 1 1
direct
0.5000 0.5000 0.5000
0.0000 0.0000 0.0000
0.7500 0.7500 0.7500
0.2500 0.2500 0.2500
```

Entry 8:
VASP calculation (GGA-PBE) on an optimized crystal structure of La2Tb9Er.

## Properties
Formation energy from the elements (eV per atom): 0.08
M_tot (μB/f.u.): 0.000
Space-group type: P6/mmm

Cell and atoms, written as POSCAR:
```
La2Tb9Er
1.0
-2.9098 -1.8192 -0.6082
6.2256 -9.3505 -1.8160
-3.7049 2.4214 10.4832
La Tb Er
2 9 1
direct
0.0000 0.3333 0.6667
0.0000 0.6667 0.3333
0.0000 0.0000 0.5000
0.0000 0.5000 0.5000
0.0000 0.5000 0.0000
0.5000 0.3412 0.1706
0.5000 0.1706 0.8294
0.5000 0.1706 0.3412
0.5000 0.8294 0.6588
0.5000 0.8294 0.1706
0.5000 0.6588 0.8294
0.0000 0.0000 0.0000
```

Entry 9:
VASP calculation (GGA-PBE) on an optimized crystal structure of AlFe3H.

## Properties
M_tot (μB/f.u.): 6.760
Total DFT energy (no corrections) (hartree per atom): -0.22013
Space-group type: Amm2

Cell and atoms, written as POSCAR:
```
AlFe3H
1.0
-0.4770 -2.3721 0.3813
2.3513 -1.4477 -6.0655
2.3157 0.5351 6.2262
H Fe Al
1 3 1
direct
0.0000 0.4634 0.5366
0.5000 0.1568 0.3379
0.5000 0.6621 0.8432
0.0000 0.2588 0.7412
0.5000 0.0869 0.9131
```

Entry 10:
VASP calculation (GGA-PBE) on an optimized crystal structure of LaPmPrTe3.

## Properties
M_tot (μB/f.u.): 0.751
Energy relative to the elements, uncorrected (eV per formula unit): -8.04
Space-group type: P2_1/m

Cell and atoms, written as POSCAR:
```
LaPmPrTe3
1.0
-3.8181 -1.1885 -1.8564
4.3667 -4.9537 -5.8098
-2.0903 -6.7589 8.6264
La Pm Pr Te
2 2 2 6
direct
0.2500 0.1871 0.2127
0.7500 0.8129 0.7873
0.2500 0.6599 0.0958
0.7500 0.3401 0.9042
0.2500 0.1588 0.6206
0.7500 0.8412 0.3794
0.7500 0.9123 0.1060
0.2500 0.0877 0.8940
0.2500 0.7769 0.5618
0.7500 0.2231 0.4382
0.7500 0.4712 0.1991
0.2500 0.5288 0.8009
```

Entry 11:
VASP calculation (GGA-PBE) on an optimized crystal structure of RbTl3Os.

## Properties
Formation energy from the elements (eV per atom): 0.20
M_tot (μB/f.u.): 0.000
Space-group type: Pm-3m

Cell and atoms, written as POSCAR:
```
RbTl3Os
1.0
5.3908 0.0000 0.0000
0.0000 5.3908 0.0000
0.0000 0.0000 5.3908
Tl Os Rb
3 1 1
direct
0.0000 0.5000 0.0000
0.0000 0.0000 0.5000
0.5000 0.0000 0.0000
0.0000 0.0000 0.0000
0.5000 0.5000 0.5000
```

Entry 12:
VASP calculation (GGA-PBE) on an optimized crystal structure of MgMnCr2.

## Properties
Formation energy from the elements (eV per atom): 0.23
M_tot (μB/f.u.): 2.901
Space-group type: P4mm

Cell and atoms, written as POSCAR:
```
MgMnCr2
1.0
-2.1873 0.7126 -1.8520
-1.8787 0.1439 2.2742
1.3761 6.1642 0.7466
Cr Mg Mn
2 1 1
direct
0.0000 0.0000 0.0003
0.5000 0.5000 0.2092
0.0000 0.0000 0.5064
0.5000 0.5000 0.7842
```